First-principles (PBE) data for a relaxed structure of NdY5Tm7, as listed in Alexandria.

a b c (Å): 6.732 8.634 8.634
angles (deg): 78.95 67.05 67.05
Atoms (fractional coordinates):
Nd (0.971, 0.029, 0.029)
Y (0.535, 0.007, 0.458)
Y (0.999, 0.007, 0.458)
Y (0.535, 0.458, 0.007)
Y (0.999, 0.458, 0.007)
Y (0.770, 0.730, 0.730)
Tm (0.575, 0.425, 0.425)
Tm (0.272, 0.728, 0.728)
Tm (0.020, 0.310, 0.650)
Tm (0.020, 0.650, 0.310)
Tm (0.268, 0.232, 0.232)
Tm (0.517, 0.812, 0.153)
Tm (0.517, 0.153, 0.812)

Properties
Magnetic moment (μB per formula unit): 0.00
Calculated formation energy (eV/atom): 0.272